Record 1
NbAsC2Cl after structural relaxation. Source: Alexandria, functional PBE.

a = 3.8850 Å, b = 3.8850 Å, c = 4.8541 Å
α = 90.00°, β = 90.00°, γ = 90.00°
Positions (direct):
1 Nb 0.0000 0.0000 0.0000
2 As 0.5000 0.5000 0.0000
3 C 0.0000 0.5000 0.5000
4 C 0.5000 0.0000 0.5000
5 Cl 0.0000 0.0000 0.5000

Calculated values
- final energy (eV per atom) = -4.499
- ΔE_f (raw) (eV per atom) = 2.503
- space group = P4/mmm
- V (A^3/atom) = 14.65

Record 2
Nd4AsCCl2 after structural relaxation. Source: Alexandria, functional PBE.

a = 7.1219 Å, b = 3.9748 Å, c = 7.3957 Å
α = 90.00°, β = 108.17°, γ = 90.00°
Positions (direct):
1 Nd 0.2063 0.0000 0.1999
2 Nd 0.2271 0.5000 0.7918
3 Nd 0.7729 0.5000 0.2082
4 Nd 0.7937 0.0000 0.8001
5 As 0.5000 0.0000 0.0000
6 C 0.0000 0.5000 0.0000
7 Cl 0.0000 0.0000 0.5000
8 Cl 0.5000 0.5000 0.5000

Calculated values
- final energy (eV per atom) = -5.840
- ΔE_f (raw) (eV per atom) = -1.260
- space group = P2/m
- V (A^3/atom) = 24.87

Question: The highest ΔE_f (raw) belongs to which entry?
Answer: NbAsC2Cl

Question: Which formula does entry 1 have?
Answer: NbAsC2Cl

Question: Among the records above, which one has the highest V?
Answer: Nd4AsCCl2